{"formula": "Pa2Ge5Os3", "functional": "GGA-PBE", "state": "optimized geometry", "dos_at_fermi_per_ev_cell": 15.42, "rho_g_cm3": 12.83, "e_tot_ev_per_atom": -7.930, "total_magnetization_mub_per_cell": 0.0, "spacegroup": "No. 36", "vol_a3_per_cell": 361, "e_above_lowest_polymorph_kcal_per_mol_atoms": 0.18, "cell": [[2.1133, -12.3515, 0.0000], [2.1133, 12.3515, 0.0000], [0.0000, 0.0000, 6.9216]], "species": ["Pa", "Pa", "Pa", "Pa", "Ge", "Ge", "Ge", "Ge", "Ge", "Ge", "Ge", "Ge", "Ge", "Ge", "Os", "Os", "Os", "Os", "Os", "Os"], "fractional_positions": [[0.0227, 0.9773, 0.5000], [0.3252, 0.6748, 0.5321], [0.6748, 0.3252, 0.0321], [0.9773, 0.0227, 0.0000], [0.1012, 0.8988, 0.8659], [0.2078, 0.7922, 0.3305], [0.2084, 0.7916, 0.7487], [0.3785, 0.6215, 0.9918], [0.4502, 0.5498, 0.6632], [0.5498, 0.4502, 0.1632], [0.6215, 0.3785, 0.4918], [0.7916, 0.2084, 0.2487], [0.7922, 0.2078, 0.8305], [0.8988, 0.1012, 0.3659], [0.1063, 0.8937, 0.2438], [0.2754, 0.7246, 0.0423], [0.4489, 0.5511, 0.2808], [0.5511, 0.4489, 0.7808], [0.7246, 0.2754, 0.5423], [0.8937, 0.1063, 0.7438]]}